Record 1
Entry from Alexandria via LeMat-Bulk: a geometry-optimized PmSm5Hg2 structure (GGA-PBE).

Geometry as extended XYZ:
```
8
Lattice="-1.878 5.290 6.221 1.878 -5.290 6.221 1.878 5.290 -6.221" Properties=species:S:1:pos:R:3 pbc="T T T"
Pm 0.000 0.000 0.000
Sm 1.878 2.960 -1.722
Sm 1.878 2.960 1.722
Sm 0.000 5.290 0.000
Sm 0.000 2.330 4.499
Sm 0.000 2.330 7.943
Hg 1.878 0.000 2.875
Hg 0.000 5.290 3.346
```

Summary:
Space-group type = Immm (71)
E_form = -0.163 eV/atom
Total energy = -3.78 eV/atom
V = 247.24 Å³ per cell

Record 2
Entry from Alexandria via LeMat-Bulk: a geometry-optimized LaZrSc2 structure (GGA-PBE).

Geometry as extended XYZ:
```
4
Lattice="4.761 0.000 0.000 0.000 4.761 0.000 0.000 0.000 4.644" Properties=species:S:1:pos:R:3 pbc="T T T"
La 0.000 0.000 0.000
Zr 2.381 2.381 0.000
Sc 0.000 2.381 2.322
Sc 2.381 0.000 2.322
```

Summary:
Space-group type = P4/mmm (123)
E_form = 0.099 eV/atom
Relative energy among the computed polymorphs = 47 meV/atom
Total energy = -6.44 eV/atom
V = 105.27 Å³ per cell

Record 3
Entry from Alexandria via LeMat-Bulk: a geometry-optimized K2BaSn2 structure (GGA-PBE).

Geometry as extended XYZ:
```
5
Lattice="-2.579 2.579 7.875 2.579 -2.579 7.875 2.579 2.579 -7.875" Properties=species:S:1:pos:R:3 pbc="T T T"
K 2.579 0.000 3.937
K 0.000 2.579 3.937
Ba 0.000 0.000 0.000
Sn 0.000 0.000 6.491
Sn 0.000 0.000 9.258
```

Summary:
Space-group type = I4/mmm (139)
E_form = -0.292 eV/atom
Relative energy among the computed polymorphs = 24 meV/atom
Total energy = -2.72 eV/atom
V = 209.52 Å³ per cell

Record 4
Entry from Alexandria via LeMat-Bulk: a geometry-optimized BaScW2 structure (GGA-PBE).

Geometry as extended XYZ:
```
4
Lattice="3.257 0.000 0.000 0.000 4.344 0.000 0.000 0.000 7.188" Properties=species:S:1:pos:R:3 pbc="T T T"
Ba 0.000 0.000 0.000
Sc 0.000 0.000 3.594
W 1.628 2.172 2.432
W 1.628 2.172 4.755
```

Summary:
Space-group type = Pmmm (47)
E_form = 0.875 eV/atom
Relative energy among the computed polymorphs = 365 meV/atom
Total energy = -7.67 eV/atom
V = 101.68 Å³ per cell

Record 5
Entry from Alexandria via LeMat-Bulk: a geometry-optimized K2TlAg structure (GGA-PBE).

Geometry as extended XYZ:
```
8
Lattice="-4.824 4.824 3.257 4.824 -4.824 3.257 4.824 4.824 -3.257" Properties=species:S:1:pos:R:3 pbc="T T T"
K 7.236 2.049 -0.814
K 2.049 2.412 0.814
K -2.412 2.775 2.443
K 2.775 2.412 4.071
Tl 4.824 0.000 1.629
Tl 0.000 0.000 3.257
Ag 0.000 0.000 0.000
Ag 0.000 4.824 1.629
```

Summary:
Space-group type = I-42d (122)
E_form = 0.136 eV/atom
Relative energy among the computed polymorphs = 166 meV/atom
Total energy = -1.72 eV/atom
V = 303.18 Å³ per cell

Record 6
Entry from Alexandria via LeMat-Bulk: a geometry-optimized BaTiBi3 structure (GGA-PBE).

Geometry as extended XYZ:
```
5
Lattice="6.216 0.000 0.000 0.000 6.216 0.000 0.000 0.000 6.216" Properties=species:S:1:pos:R:3 pbc="T T T"
Ba 0.000 0.000 0.000
Ti 3.108 3.108 3.108
Bi 0.000 0.000 3.108
Bi 0.000 3.108 0.000
Bi 3.108 0.000 0.000
```

Summary:
Space-group type = Pm-3m (221)
E_form = 1.239 eV/atom
Relative energy among the computed polymorphs = 1674 meV/atom
Total energy = -3.05 eV/atom
V = 240.20 Å³ per cell

Record 7
Entry from Alexandria via LeMat-Bulk: a geometry-optimized NaLuMgSn structure (GGA-PBE).

Geometry as extended XYZ:
```
4
Lattice="0.000 3.713 3.713 3.713 0.000 3.713 3.713 3.713 0.000" Properties=species:S:1:pos:R:3 pbc="T T T"
Na 0.000 0.000 0.000
Lu 3.713 3.713 3.713
Mg 1.856 1.856 1.856
Sn 5.569 5.569 5.569
```

Summary:
Space-group type = F-43m (216)
E_form = -0.189 eV/atom
Total energy = -3.05 eV/atom
V = 102.34 Å³ per cell

Record 8
Entry from Alexandria via LeMat-Bulk: a geometry-optimized Ca2NdYHg4 structure (GGA-PBE).

Geometry as extended XYZ:
```
8
Lattice="2.669 1.541 8.725 -2.669 1.541 8.725 0.000 -3.082 8.725" Properties=species:S:1:pos:R:3 pbc="T T T"
Ca 0.000 0.000 6.523
Ca 0.000 0.000 19.651
Nd 0.000 0.000 0.000
Y 0.000 0.000 13.087
Hg 0.000 0.000 3.308
Hg 0.000 0.000 9.865
Hg 0.000 0.000 16.308
Hg 0.000 0.000 22.866
```

Summary:
Space-group type = R-3m (166)
E_form = -0.538 eV/atom
Total energy = -2.59 eV/atom
V = 215.27 Å³ per cell

Record 9
Entry from Alexandria via LeMat-Bulk: a geometry-optimized TbNd2Rh3 structure (GGA-PBE).

Geometry as extended XYZ:
```
12
Lattice="2.491 -7.477 0.000 2.491 7.477 0.000 0.000 0.000 6.962" Properties=species:S:1:pos:R:3 pbc="T T T"
Tb 2.491 4.972 0.000
Tb 2.491 -4.972 0.000
Nd 2.491 4.983 3.481
Nd 2.491 0.000 0.000
Nd 2.491 0.000 3.481
Nd 2.491 -4.983 3.481
Rh 0.000 0.000 1.708
Rh 0.000 0.000 5.254
Rh 2.491 2.529 1.680
Rh 2.491 2.529 5.282
Rh 2.491 -2.529 1.680
Rh 2.491 -2.529 5.282
```

Summary:
Space-group type = Cmmm (65)
E_form = -0.701 eV/atom
Relative energy among the computed polymorphs = 0 meV/atom
Total energy = -6.74 eV/atom
V = 259.40 Å³ per cell

Record 10
Entry from Alexandria via LeMat-Bulk: a geometry-optimized KBa5Hg4 structure (GGA-PBE).

Geometry as extended XYZ:
```
10
Lattice="4.240 0.000 0.000 0.000 4.240 0.000 0.000 0.000 23.723" Properties=species:S:1:pos:R:3 pbc="T T T"
K 0.000 0.000 0.000
Ba 2.120 2.120 3.591
Ba 2.120 2.120 7.673
Ba 2.120 2.120 11.862
Ba 2.120 2.120 16.050
Ba 2.120 2.120 20.132
Hg 0.000 0.000 5.473
Hg 0.000 0.000 9.763
Hg 0.000 0.000 13.960
Hg 0.000 0.000 18.250
```

Summary:
Space-group type = P4/mmm (123)
E_form = -0.416 eV/atom
Total energy = -1.61 eV/atom
V = 426.42 Å³ per cell

Record 11
Entry from Alexandria via LeMat-Bulk: a geometry-optimized NdHo6Tm4 structure (GGA-PBE).

Geometry as extended XYZ:
```
11
Lattice="-3.745 3.745 6.614 3.745 -3.745 6.614 3.745 3.745 -6.614" Properties=species:S:1:pos:R:3 pbc="T T T"
Nd 0.000 0.000 0.000
Ho 3.745 0.000 0.000
Ho 1.954 -1.954 4.147
Ho 1.791 1.791 2.466
Ho 0.000 3.745 0.000
Ho -1.954 1.954 4.147
Ho 1.954 1.954 9.080
Tm 2.548 2.548 -1.058
Tm 1.197 -1.197 7.671
Tm 1.197 1.197 5.556
Tm -1.197 1.197 7.671
```

Summary:
Space-group type = I-42m (121)
E_form = 0.440 eV/atom
Relative energy among the computed polymorphs = 316 meV/atom
Total energy = -4.12 eV/atom
V = 371.07 Å³ per cell

Record 12
Entry from Alexandria via LeMat-Bulk: a geometry-optimized FeP2Pb structure (GGA-PBE).

Geometry as extended XYZ:
```
4
Lattice="3.740 -1.664 0.000 3.740 1.664 0.000 -1.457 0.000 6.036" Properties=species:S:1:pos:R:3 pbc="T T T"
Fe 0.000 0.000 0.000
P 2.210 0.000 0.093
P 2.319 0.000 4.544
Pb 4.347 0.000 2.381
```

Summary:
Space-group type = Cm (8)
E_form = -0.038 eV/atom
Total energy = -5.79 eV/atom
V = 75.12 Å³ per cell

Among the records above, which one has the lowest E_form?
TbNd2Rh3